1.
SmNi2Ge3: relaxed, PBE.

Lattice parameters (Å, degrees): 4.121 4.121 12.480 99.50 99.50 90.00
Fractional coordinates of all 12 atoms:
Ge 0.948 0.448 0.897
Ge 0.302 0.302 0.603
Ni 0.750 0.250 0.500
Ni 0.400 0.400 0.801
Ni 0.250 0.750 0.500
Ge 0.552 0.052 0.103
Sm 0.847 0.847 0.694
Ge 0.698 0.698 0.397
Ge 0.052 0.552 0.103
Ni 0.600 0.600 0.199
Ge 0.448 0.948 0.897
Sm 0.153 0.153 0.306

Size of the total moment in Bohr magnetons per cell: 0.0
Electronic total energy in eV/atom: -5.60
DFT formation energy in eV/atom: -0.58
Crystal system: tetragonal
Space group: No. 139

=====

2.
Mn2GaNi4: relaxed, PBE.

Lattice parameters (Å, degrees): 8.576 4.854 4.947 119.38 90.00 90.00
Site moments in Bohr magnetons follow the coordinates.
Fractional coordinates of all 14 atoms:
Ni 0.735 0.145 0.000  0.46
Ni 0.750 0.603 0.500  0.59
Ni 0.750 0.103 0.500  0.59
Ni 0.235 0.355 0.000  0.46
Ni 0.265 0.855 0.000  0.46
Ga 0.000 0.000 0.000  -0.07
Ga 0.500 0.500 0.000  -0.07
Ni 0.250 0.397 0.500  0.59
Mn 0.500 0.844 0.687  3.49
Mn 0.000 0.656 0.313  3.49
Ni 0.765 0.645 0.000  0.46
Mn 0.500 0.156 0.313  3.49
Ni 0.250 0.897 0.500  0.59
Mn 0.000 0.344 0.687  3.49

Size of the total moment in Bohr magnetons per cell: 18.4
Electronic total energy in eV/atom: -6.29
DFT formation energy in eV/atom: 0.06
Crystal system: orthorhombic
Space group: No. 64

=====

3.
ZnBiPdSe2: relaxed, PBE.

Lattice parameters (Å, degrees): 4.836 5.402 4.836 90.00 90.00 90.00
Fractional coordinates of all 5 atoms:
Bi 0.000 0.500 0.000
Se 0.000 0.000 0.500
Pd 0.500 0.500 0.500
Se 0.500 0.000 0.000
Zn 0.000 0.000 0.000

Size of the total moment in Bohr magnetons per cell: 0.0
Electronic total energy in eV/atom: -2.88
Crystal system: tetragonal
Energy relative to the elements, uncorrected in eV per atom: 0.584
Space group: No. 123